1.
Material: ZnCoAs
Method: DFT, PBE
State: relaxed

```
data_ZnCoAs
_chemical_formula_sum 'Zn4 Co4 As4'
_space_group_name_H-M_alt 'P n m a'
_space_group_IT_number 62
_space_group_name_Hall '-P 2ac 2n'
_cell_length_a 6.530
_cell_length_b 4.105
_cell_length_c 6.464
_cell_angle_alpha 90.00
_cell_angle_beta 90.00
_cell_angle_gamma 90.00
loop_
_atom_site_label
_atom_site_fract_x
_atom_site_fract_y
_atom_site_fract_z
_atom_site_occupancy
Zn1 0.022 0.250 0.173 1
Co1 0.138 0.750 0.469 1
As1 0.208 0.250 0.636 1
```

As for the total energy: -4.443 eV per atom. Its formation energy is -100 meV per atom. The calculation puts the total magnetization at 0.0 μB per formula unit.

2.
Material: ZnCo2As
Method: DFT, PBE
State: relaxed

```
data_ZnCo2As
_chemical_formula_sum 'Zn1 Co2 As1'
_space_group_name_H-M_alt 'P m m 2'
_space_group_IT_number 25
_space_group_name_Hall 'P 2 -2'
_cell_length_a 2.876
_cell_length_b 3.531
_cell_length_c 5.062
_cell_angle_alpha 90.00
_cell_angle_beta 90.00
_cell_angle_gamma 90.00
loop_
_atom_site_label
_atom_site_fract_x
_atom_site_fract_y
_atom_site_fract_z
_atom_site_occupancy
Zn1 0.000 0.000 0.000 1
Co1 0.000 0.000 0.517 1
Co2 0.500 0.500 0.796 1
As1 0.500 0.500 0.326 1
```

As for the total energy: -4.972 eV per atom. Its formation energy is 62 meV per atom. The polymorph energy (0 for the lowest one) comes out at 0.0910 eV/atom. The calculation puts the total magnetization at 1.6 μB per formula unit.

3.
Material: ZnCo2As
Method: DFT, PBE
State: relaxed

```
data_ZnCo2As
_chemical_formula_sum 'Zn3 Co6 As3'
_space_group_name_H-M_alt 'R -3 m'
_space_group_IT_number 166
_space_group_name_Hall '-R 3 2"'
_cell_length_a 2.8179
_cell_length_b 2.8179
_cell_length_c 22.3869
_cell_angle_alpha 90.00
_cell_angle_beta 90.00
_cell_angle_gamma 120.00
loop_
_atom_site_label
_atom_site_fract_x
_atom_site_fract_y
_atom_site_fract_z
_atom_site_occupancy
Zn1 0.0000 0.0000 0.0000 1
Co1 0.0000 0.0000 0.2444 1
As1 0.0000 0.0000 0.5000 1
```

As for the total energy: -4.964 eV per atom. Its formation energy is 70 meV per atom. The polymorph energy (0 for the lowest one) comes out at 0.0986 eV/atom. The calculation puts the total magnetization at 0.8 μB per formula unit.